Material: SmNpMoO6
Method: DFT, GGA+U
State: optimized geometry

Results
Uncorrected energy, eV per cell: -155.03
Crystal system: trigonal

a b c (Å): 5.7553 5.7553 8.8339
angles (deg): 90.00 90.00 120.00
Space group P-31c (No. 163)
Asymmetric unit:
Sm 0.3333 0.6667 0.2500
Np 0.3333 0.6667 0.7500
Mo 0.0000 0.0000 0.0000
O 0.0347 0.3478 0.6261